Density functional theory data (PBE) for SrTl2C after structural relaxation.

```
8
Lattice="-4.175 4.175 2.860 4.175 -4.175 2.860 4.175 4.175 -2.860" Properties=species:S:1:pos:R:3 pbc="T T T"
Sr 0.000 0.000 0.000
Sr 0.000 4.175 1.430
Tl 2.088 -1.317 2.145
Tl 2.858 2.088 0.715
Tl 2.088 5.493 -0.715
Tl 1.317 2.088 3.575
C 4.175 0.000 1.430
C 0.000 0.000 2.860
```

Output
Electronic total energy, eV/atom: -3.2636
ΔH_f (0 K), eV/f.u.: 2.6
Energy above the lowest structure with this stoichiometry, meV/atom: 0


Density functional theory data (PBE) for SrTlC2 after structural relaxation.

```
8
Lattice="-2.419 2.419 7.138 2.419 -2.419 7.138 2.419 2.419 -7.138" Properties=species:S:1:pos:R:3 pbc="T T T"
Sr 0.000 0.000 0.000
Sr 0.000 2.419 3.569
Tl 2.419 0.000 3.569
Tl 0.000 0.000 7.138
C 1.210 -0.662 5.353
C 1.758 1.210 1.784
C 1.210 3.081 -1.784
C 0.662 1.210 8.922
```

Output
Electronic total energy, eV/atom: -3.9669
ΔH_f (0 K), eV/f.u.: 6.6
Energy above the lowest structure with this stoichiometry, meV/atom: 0


Density functional theory data (PBE) for SrTl3C after structural relaxation.

```
5
Lattice="6.384 0.000 0.000 0.000 6.384 0.000 0.000 0.000 6.384" Properties=species:S:1:pos:R:3 pbc="T T T"
Sr 0.000 0.000 0.000
Tl 0.000 0.000 3.192
Tl 0.000 3.192 0.000
Tl 3.192 0.000 0.000
C 3.192 3.192 3.192
```

Output
Electronic total energy, eV/atom: -1.7585
ΔH_f (0 K), eV/f.u.: 9.2
Energy above the lowest structure with this stoichiometry, meV/atom: 1117